1.
A plane-wave DFT calculation with GGA-PBE was carried out for a relaxed LiCd6Cu crystal.

```
data_LiCd6Cu
_chemical_formula_sum 'Li1 Cd6 Cu1'
_cell_length_a 4.744
_cell_length_b 5.998
_cell_length_c 5.194
_cell_angle_alpha 90.00
_cell_angle_beta 90.00
_cell_angle_gamma 90.00
_space_group_name_H-M_alt 'P m m 2'
_space_group_IT_number 25
_space_group_name_Hall 'P 2 -2'
loop_
_atom_site_label
_atom_site_fract_x
_atom_site_fract_y
_atom_site_fract_z
Li1 0.000 0.000 0.000
Cd1 0.000 0.251 0.498
Cd2 0.000 0.500 0.983
Cd3 0.500 0.000 0.676
Cd4 0.500 0.250 0.159
Cu1 0.500 0.500 0.663
```

Properties
For the calculated total energy, the calculation gives -1.43 eV/atom.


2.
A plane-wave DFT calculation with GGA-PBE was carried out for a relaxed Li2CdCu crystal.

```
data_Li2CdCu
_chemical_formula_sum 'Li8 Cd4 Cu4'
_cell_length_a 6.241
_cell_length_b 6.241
_cell_length_c 6.241
_cell_angle_alpha 90.00
_cell_angle_beta 90.00
_cell_angle_gamma 90.00
_space_group_name_H-M_alt 'F -4 3 m'
_space_group_IT_number 216
_space_group_name_Hall 'F -4 2 3'
loop_
_atom_site_label
_atom_site_fract_x
_atom_site_fract_y
_atom_site_fract_z
Li1 0.000 0.000 0.000
Li2 0.250 0.250 0.250
Cd1 0.250 0.250 0.750
Cu1 0.000 0.000 0.500
```

Properties
For the calculated total energy, the calculation gives -2.24 eV/atom.


Please write out number 1 again, unchanged.
A plane-wave DFT calculation with GGA-PBE was carried out for a relaxed LiCd6Cu crystal.

```
data_LiCd6Cu
_chemical_formula_sum 'Li1 Cd6 Cu1'
_cell_length_a 4.744
_cell_length_b 5.998
_cell_length_c 5.194
_cell_angle_alpha 90.00
_cell_angle_beta 90.00
_cell_angle_gamma 90.00
_space_group_name_H-M_alt 'P m m 2'
_space_group_IT_number 25
_space_group_name_Hall 'P 2 -2'
loop_
_atom_site_label
_atom_site_fract_x
_atom_site_fract_y
_atom_site_fract_z
Li1 0.000 0.000 0.000
Cd1 0.000 0.251 0.498
Cd2 0.000 0.500 0.983
Cd3 0.500 0.000 0.676
Cd4 0.500 0.250 0.159
Cu1 0.500 0.500 0.663
```

Properties
For the calculated total energy, the calculation gives -1.43 eV/atom.


> Which value of calculated total energy does entry 1 give?

-1.43 eV/atom